No. 1
Compound: ScCr2Ir
Source: Alexandria
Functional: PBEsol
Structure: relaxed

Results
- space-group type = P4mm (99)
- formation enthalpy at 0 K (eV/atom) = -0.10

Cell: 2.9624 2.9624 6.3171 Å, 90.00 90.00 90.00°
Site moments in Bohr magnetons follow the coordinates.
Positions (direct):
1 Ir 0.0000 0.0000 0.4801  0.01
2 Cr 0.5000 0.5000 0.2251  0.49
3 Cr 0.0000 0.0000 0.0406  -0.34
4 Sc 0.5000 0.5000 0.7541  0.01

***

No. 2
Compound: ScCrIr2
Source: Alexandria
Functional: PBEsol
Structure: relaxed

Results
- E above lowest polymorph (eV per atom) = 0.2301
- space-group type = P2/m (10)
- formation enthalpy at 0 K (eV/atom) = -0.19

Cell: 2.8452 4.5545 4.8117 Å, 108.69 90.00 90.00°
Site moments in Bohr magnetons follow the coordinates.
Positions (direct):
1 Ir 0.0000 0.0000 0.0000  0.05
2 Ir 0.5000 0.0000 0.5000  -0.01
3 Sc 0.5000 0.5000 0.0000  0.00
4 Cr 0.0000 0.5000 0.5000  2.44

***

No. 3
Compound: ScCrIr2
Source: Alexandria
Functional: PBEsol
Structure: relaxed

Results
- E above lowest polymorph (eV per atom) = 0.1463
- space-group type = Cm (8)
- formation enthalpy at 0 K (eV/atom) = -0.27

Cell: 2.8154 4.6282 4.8318 Å, 100.16 106.94 90.00°
Site moments in Bohr magnetons follow the coordinates.
Positions (direct):
1 Cr 0.7346 0.1995 0.4692  1.66
2 Sc 0.5054 0.5230 0.0109  0.03
3 Ir 0.2583 0.7451 0.5166  -0.06
4 Ir 0.0017 0.0323 0.0034  -0.11

***

No. 4
Compound: ScCrIr2
Source: Alexandria
Functional: PBEsol
Structure: relaxed

Results
- E above lowest polymorph (eV per atom) = 0.0849
- space-group type = Fm-3m (225)
- formation enthalpy at 0 K (eV/atom) = -0.34

Cell: 4.3818 4.3818 4.3818 Å, 60.00 60.00 60.00°
Site moments in Bohr magnetons follow the coordinates.
Positions (direct):
1 Ir 0.2500 0.2500 0.2500  0.14
2 Ir 0.7500 0.7500 0.7500  0.14
3 Cr 0.0000 0.0000 0.0000  2.68
4 Sc 0.5000 0.5000 0.5000  -0.01

***

No. 5
Compound: ScCrIr2
Source: Alexandria
Functional: PBEsol
Structure: relaxed

Results
- E above lowest polymorph (eV per atom) = 0.3856
- space-group type = F-43m (216)
- formation enthalpy at 0 K (eV/atom) = -0.03

Cell: 4.3493 4.3493 4.3493 Å, 60.00 60.00 60.00°
Site moments in Bohr magnetons follow the coordinates.
Positions (direct):
1 Ir 0.0000 0.0000 0.0000  0.16
2 Ir 0.2500 0.2500 0.2500  0.20
3 Cr 0.5000 0.5000 0.5000  0.15
4 Sc 0.7500 0.7500 0.7500  -0.01

***

No. 6
Compound: ScCrIr
Source: Alexandria
Functional: PBEsol
Structure: relaxed

Results
- space-group type = P3m1 (156)
- formation enthalpy at 0 K (eV/atom) = -0.09

Cell: 2.8485 4.2577 4.2577 Å, 120.00 90.00 90.00°
Positions (direct):
1 Sc 0.3285 0.3333 0.6667
2 Ir 0.7379 0.6667 0.3333
3 Cr 0.9336 0.0000 0.0000

***

No. 7
Compound: ScCrIr2
Source: Alexandria
Functional: PBEsol
Structure: relaxed

Results
- E above lowest polymorph (eV per atom) = 0.0000
- space-group type = P4/mmm (123)
- formation enthalpy at 0 K (eV/atom) = -0.42

Cell: 3.5019 4.1036 4.1036 Å, 90.00 90.00 90.00°
Site moments in Bohr magnetons follow the coordinates.
Positions (direct):
1 Ir 0.0000 0.5000 0.0000  -0.03
2 Ir 0.0000 0.0000 0.5000  -0.03
3 Cr 0.5000 0.0000 0.0000  2.63
4 Sc 0.5000 0.5000 0.5000  0.06

***

No. 8
Compound: ScCrIr2
Source: Alexandria
Functional: PBEsol
Structure: relaxed

Results
- E above lowest polymorph (eV per atom) = 0.2257
- space-group type = Imm2 (44)
- formation enthalpy at 0 K (eV/atom) = -0.19

Cell: 2.9582 4.3715 5.2980 Å, 114.37 106.21 90.00°
Site moments in Bohr magnetons follow the coordinates.
Positions (direct):
1 Sc 0.5028 0.5028 0.0055  -0.04
2 Ir 0.9866 0.9866 0.9731  -0.02
3 Ir 0.7452 0.2452 0.4905  0.07
4 Cr 0.2655 0.7655 0.5309  2.06

***

No. 9
Compound: CrIrSe2
Source: Alexandria
Functional: PBEsol
Structure: relaxed

Results
- E above lowest polymorph (eV per atom) = 0.1799
- space-group type = Cm (8)

Cell: 3.2643 4.3366 4.8437 Å, 99.97 109.69 90.00°
Site moments in Bohr magnetons follow the coordinates.
Positions (direct):
1 Cr 0.4992 0.5372 0.9983  3.02
2 Se 0.0025 0.0685 0.0049  -0.09
3 Se 0.2457 0.6673 0.4913  -0.06
4 Ir 0.7527 0.2270 0.5055  -0.02

***

No. 10
Compound: CrIrSe2
Source: Alexandria
Functional: PBEsol
Structure: relaxed

Results
- E above lowest polymorph (eV per atom) = 0.0000
- space-group type = P4mm (99)

Cell: 3.3965 3.3952 5.9612 Å, 90.00 90.00 90.00°
Site moments in Bohr magnetons follow the coordinates.
Positions (direct):
1 Ir 0.5000 0.5000 0.7559  -0.12
2 Se 0.5000 0.5000 0.3450  -0.10
3 Se 0.0000 0.0000 0.9045  -0.05
4 Cr 0.0000 0.0000 0.4946  2.79

***

No. 11
Compound: CrIrSe4
Source: Alexandria
Functional: PBEsol
Structure: relaxed

Results
- space-group type = F-43m (216)
- E_tot (eV/atom) = -4.706

Cell: 5.4106 5.4106 5.4106 Å, 60.00 60.00 60.00°
Site moments in Bohr magnetons follow the coordinates.
Positions (direct):
1 Se 0.3742 0.3742 0.3742  -0.02
2 Se 0.8774 0.3742 0.3742  -0.02
3 Se 0.3742 0.8774 0.3742  -0.02
4 Se 0.3742 0.3742 0.8774  -0.02
5 Cr 0.7500 0.7500 0.7500  3.85
6 Ir 0.0000 0.0000 0.0000  -0.49

***

No. 12
Compound: CrIrSe2
Source: Alexandria
Functional: PBEsol
Structure: relaxed

Results
- E above lowest polymorph (eV per atom) = 0.3545
- space-group type = Fmmm (69)

Cell: 4.4114 4.4114 4.5843 Å, 111.99 111.99 102.81°
Site moments in Bohr magnetons follow the coordinates.
Positions (direct):
1 Cr 0.5000 0.5000 0.0000  3.29
2 Se 0.0000 0.5000 0.5000  -0.04
3 Se 0.5000 0.0000 0.5000  -0.04
4 Ir 0.0000 0.0000 0.0000  -0.02